VASP calculation (SCAN) on a PBEsol-optimized structure of Fe3H10S2NO14.

Properties
For the final energy, the calculation gives -8.109 eV per atom.

Structure (CIF):
```
data_Fe3H10S2NO14
_symmetry_space_group_name_H-M 'R 3 m'
_symmetry_Int_Tables_number 160
_symmetry_space_group_name_Hall 'R 3 -2"'
_cell_length_a 7.2099
_cell_length_b 7.2099
_cell_length_c 17.1970
_cell_angle_alpha 90.00
_cell_angle_beta 90.00
_cell_angle_gamma 120.00
loop_
_atom_site_label
_atom_site_type_symbol
_atom_site_fract_x
_atom_site_fract_y
_atom_site_fract_z
_atom_site_occupancy
Fe1 Fe 0.0011 0.5006 0.0000 1
H1 H 0.0000 0.0000 0.5598 1
H2 H 0.0737 0.5368 0.7188 1
H3 H 0.1555 0.0777 0.4797 1
H4 H 0.1974 0.3949 0.6085 1
S1 S 0.0000 0.0000 0.1886 1
S2 S 0.0000 0.0000 0.8096 1
N1 N 0.0000 0.0000 0.4998 1
O1 O 0.0000 0.0000 0.1020 1
O2 O 0.0000 0.0000 0.8961 1
O3 O 0.0756 0.5378 0.3049 1
O4 O 0.1083 0.5542 0.8838 1
O5 O 0.2028 0.4056 0.0285 1
O6 O 0.2208 0.4417 0.4478 1
```